1.
The following is a GGA-PBE calculation of a relaxed structure of Ba2HfS2O2, from Alexandria via LeMat-Bulk.

Cell lengths 4.3338, 4.3338, 8.5440 Å; angles 104.69, 104.69, 90.00 degrees
Last column: nearest neighbours and their distance in Å.
Atoms (fractional coordinates):
O1 0.0000 0.5000 0.0000  2 Hf 2.17
Ba1 0.6325 0.6325 0.2650  4 O 3.03, 5 S 3.10-3.28
O2 0.5000 0.0000 0.0000  2 Hf 2.17
Hf1 0.0000 0.0000 0.0000  4 O 2.17
S1 0.1622 0.1622 0.3243  1 Hf 2.59
S2 0.8378 0.8378 0.6757  1 Hf 2.59
Ba2 0.3675 0.3675 0.7350  4 O 3.03, 5 S 3.10-3.28

## Properties
calculated total energy: -7.19 eV/atom
symmetry: I4/mmm, No. 139
formation energy without anion corrections: -2.622 eV/atom

2.
The following is a GGA-PBE calculation of a relaxed structure of Pm6ThSc2, from Alexandria via LeMat-Bulk.

Cell lengths 9.4937, 6.2316, 9.7473 Å; angles 87.90, 90.00, 90.00 degrees
Last column: nearest neighbours and their distance in Å.
Atoms (fractional coordinates):
Sc1 0.5631 0.9932 0.8546  1 Sc 3.08, 4 Pm 3.11-3.42, 1 Th 3.39
Pm1 0.1438 0.3428 0.0140  7 Pm 3.37-3.68, 1 Th 3.52, 1 Sc 3.68
Pm2 0.7135 0.6353 0.6561  2 Sc 3.33-3.42, 6 Pm 3.50-3.72
Pm3 0.2135 0.8647 0.8439  2 Sc 3.33-3.42, 6 Pm 3.50-3.72
Pm4 0.8562 0.6572 0.9860  7 Pm 3.37-3.68, 1 Th 3.52, 1 Sc 3.68
Pm5 0.6293 0.6498 0.3047  2 Sc 3.11-3.23, 1 Th 3.38
Sc2 0.0631 0.5068 0.6454  1 Sc 3.08, 4 Pm 3.11-3.42, 1 Th 3.39
Sc3 0.9369 0.4932 0.3546  1 Sc 3.08, 4 Pm 3.11-3.42, 1 Th 3.39
Th1 0.5000 0.5000 0.0000  4 Pm 3.38-3.52, 4 Sc 3.39-3.56
Pm6 0.8707 0.1498 0.8047  2 Sc 3.11-3.23, 1 Th 3.38
Pm7 0.2865 0.3647 0.3439  2 Sc 3.33-3.42, 6 Pm 3.50-3.72
Pm8 0.3562 0.8428 0.5140  7 Pm 3.37-3.68, 1 Th 3.52, 1 Sc 3.68
Pm9 0.6438 0.1572 0.4860  7 Pm 3.37-3.68, 1 Th 3.52, 1 Sc 3.68
Pm10 0.1293 0.8502 0.1953  2 Sc 3.11-3.23, 1 Th 3.38
Th2 0.0000 0.0000 0.5000  4 Pm 3.38-3.52, 4 Sc 3.39-3.56
Pm11 0.7865 0.1353 0.1561  2 Sc 3.33-3.42, 6 Pm 3.50-3.72
Pm12 0.3707 0.3502 0.6953  2 Sc 3.11-3.23, 1 Th 3.38
Sc4 0.4369 0.0068 0.1454  1 Sc 3.08, 4 Pm 3.11-3.42, 1 Th 3.39

## Properties
calculated total energy: -5.25 eV/atom
symmetry: P2_1/c, No. 14
calculated formation energy: 0.14 eV per atom

3.
The following is a GGA-PBE calculation of a relaxed structure of Sc3Sn2Rh7, from Alexandria via LeMat-Bulk.

Cell lengths 4.3333, 4.3815, 11.4209 Å; angles 101.06, 90.00, 90.00 degrees
Last column: nearest neighbours and their distance in Å.
Atoms (fractional coordinates):
Rh1 0.5000 0.9227 0.8454  2 Sn 2.72, 2 Rh 2.77, 4 Sc 2.79-2.83
Sn1 0.0000 0.8493 0.6987  7 Rh 2.67-2.93
Rh2 0.5000 0.0773 0.1546  2 Sn 2.72, 2 Rh 2.77, 4 Sc 2.79-2.83
Sc1 0.5000 0.6573 0.3146  6 Rh 2.57-2.83
Rh3 0.0000 0.4216 0.8431  2 Sn 2.72, 4 Sc 2.79-2.80, 2 Rh 2.81
Rh4 0.0000 0.2812 0.5623  2 Sc 2.57, 2 Rh 2.60, 2 Sn 2.67
Sc2 0.5000 0.3427 0.6854  6 Rh 2.57-2.83
Sn2 0.0000 0.1507 0.3013  7 Rh 2.67-2.93
Rh5 0.0000 0.7188 0.4377  2 Sc 2.57, 2 Rh 2.60, 2 Sn 2.67
Sc3 0.5000 0.5000 0.0000  12 Rh 2.79-3.08
Rh6 0.0000 0.5784 0.1569  2 Sn 2.72, 4 Sc 2.79-2.80, 2 Rh 2.81
Rh7 0.0000 0.0000 0.0000  8 Rh 2.77-2.81, 4 Sc 3.08

## Properties
calculated total energy: -7.16 eV/atom
symmetry: Cmmm, No. 65
calculated formation energy: -0.62 eV per atom

4.
The following is a GGA-PBE calculation of a relaxed structure of Nb2PbBr, from Alexandria via LeMat-Bulk.

Cell lengths 4.2429, 4.2429, 10.4929 Å; angles 78.34, 78.34, 90.00 degrees
Last column: nearest neighbours and their distance in Å.
Atoms (fractional coordinates):
Nb1 0.8750 0.8558 0.7500  4 Nb 2.89-3.12, 2 Br 2.90, 2 Pb 2.96
Pb1 0.0000 0.0000 0.0000  4 Nb 2.96, 4 Br 3.00
Br1 0.5000 0.5000 0.0000  4 Nb 2.90, 4 Pb 3.00
Br2 0.2500 0.7500 0.5000  4 Nb 2.90, 4 Pb 3.00
Nb2 0.6058 0.1250 0.2500  4 Nb 2.89-3.12, 2 Br 2.90, 2 Pb 2.96
Nb3 0.1442 0.6250 0.2500  4 Nb 2.89-3.12, 2 Br 2.90, 2 Pb 2.96
Pb2 0.7500 0.2500 0.5000  4 Nb 2.96, 4 Br 3.00
Nb4 0.3750 0.3942 0.7500  4 Nb 2.89-3.12, 2 Br 2.90, 2 Pb 2.96

## Properties
calculated total energy: -5.63 eV/atom
symmetry: I-42d, No. 122
polymorph energy (0 for the lowest one): 200 meV/atom
formation energy without anion corrections: 0.751 eV/atom

5.
The following is a GGA-PBE calculation of a relaxed structure of Ac2NdPd, from Alexandria via LeMat-Bulk.

Cell lengths 4.0637, 6.8374, 10.4495 Å; angles 90.00, 90.00, 107.27 degrees
Last column: nearest neighbours and their distance in Å.
Atoms (fractional coordinates):
Ac1 0.6359 0.2719 0.0632  2 Pd 3.11
Pd1 0.2364 0.4730 0.2500  2 Nd 3.09, 4 Ac 3.11
Nd1 0.0853 0.1707 0.7500  2 Pd 3.09
Ac2 0.3641 0.7281 0.5632  2 Pd 3.11
Ac3 0.3641 0.7281 0.9368  2 Pd 3.11
Nd2 0.9147 0.8293 0.2500  2 Pd 3.09
Ac4 0.6359 0.2719 0.4368  2 Pd 3.11
Pd2 0.7636 0.5270 0.7500  2 Nd 3.09, 4 Ac 3.11

## Properties
calculated total energy: -4.92 eV/atom
symmetry: Cmcm, No. 63
polymorph energy (0 for the lowest one): 20 meV/atom
calculated formation energy: -0.37 eV per atom

6.
The following is a GGA-PBE calculation of a relaxed structure of Ca2InSi2Pd5, from Alexandria via LeMat-Bulk.

Cell lengths 3.4875, 10.2190, 10.2190 Å; angles 90.00, 90.00, 90.00 degrees
Last column: nearest neighbours and their distance in Å.
Atoms (fractional coordinates):
Pd1 0.5000 0.7837 0.9348  2 Si 2.47
Pd2 0.5000 0.5000 0.0000  4 Si 2.48
Ca1 0.0000 0.3236 0.8236  3 Si 2.92-3.10, 10 Pd 3.09-3.22
Pd3 0.5000 0.7163 0.4348  2 Si 2.47
Pd4 0.5000 0.4348 0.2837  2 Si 2.47
Ca2 0.0000 0.8236 0.6764  3 Si 2.92-3.10, 10 Pd 3.09-3.22
Pd5 0.5000 0.2163 0.0652  2 Si 2.47
In1 0.0000 0.0000 0.0000  8 Pd 2.89
Ca3 0.0000 0.1764 0.3236  3 Si 2.92-3.10, 10 Pd 3.09-3.22
Si1 0.0000 0.6218 0.8782  6 Pd 2.47-2.48
Pd6 0.5000 0.0000 0.5000  4 Si 2.48
Si2 0.0000 0.8782 0.3782  6 Pd 2.47-2.48
Pd7 0.5000 0.2837 0.5652  2 Si 2.47
Si3 0.0000 0.1218 0.6218  6 Pd 2.47-2.48
Pd8 0.5000 0.9348 0.2163  2 Si 2.47
Ca4 0.0000 0.6764 0.1764  3 Si 2.92-3.10, 10 Pd 3.09-3.22
Pd9 0.5000 0.0652 0.7837  2 Si 2.47
In2 0.0000 0.5000 0.5000  8 Pd 2.89
Si4 0.0000 0.3782 0.1218  6 Pd 2.47-2.48
Pd10 0.5000 0.5652 0.7163  2 Si 2.47

## Properties
calculated total energy: -5.08 eV/atom
symmetry: P4/mbm, No. 127
formation energy without anion corrections: -0.724 eV/atom

7.
The following is a GGA-PBE calculation of a relaxed structure of Ca3Pb4, from Alexandria via LeMat-Bulk.

Cell lengths 6.7869, 8.8346, 8.8346 Å; angles 113.68, 104.84, 104.84 degrees
Last column: nearest neighbours and their distance in Å.
Atoms (fractional coordinates):
Ca1 0.7326 0.8668 0.2772  8 Pb 3.34-3.47
Pb1 0.9280 0.7036 0.5550  7 Ca 3.34-3.47, 1 Pb 3.56
Ca2 0.4554 0.7228 0.5896  8 Pb 3.34-3.47
Ca3 0.2674 0.1332 0.7228  8 Pb 3.34-3.47
Pb2 0.3730 0.4450 0.1486  7 Ca 3.34-3.47, 1 Pb 3.56
Pb3 0.2245 0.8514 0.2964  7 Ca 3.34-3.47, 1 Pb 3.56
Ca4 0.5446 0.2772 0.4104  8 Pb 3.34-3.47
Pb4 0.7755 0.1486 0.7036  7 Ca 3.34-3.47, 1 Pb 3.56
Ca5 0.8658 0.4104 0.1332  8 Pb 3.34-3.47
Ca6 0.1342 0.5896 0.8668  8 Pb 3.34-3.47
Pb5 0.0720 0.2964 0.4450  7 Ca 3.34-3.47, 1 Pb 3.56
Pb6 0.6270 0.5550 0.8514  7 Ca 3.34-3.47, 1 Pb 3.56
Pb7 0.5000 0.0000 0.0000  6 Ca 3.34, 2 Pb 3.39
Pb8 0.0000 0.0000 0.0000  8 Pb 3.39-3.56, 6 Ca 3.76

## Properties
calculated total energy: -3.41 eV/atom
symmetry: R-3, No. 148
polymorph energy (0 for the lowest one): 0 meV/atom
calculated formation energy: -0.44 eV per atom

8.
The following is a GGA-PBE calculation of a relaxed structure of KTlI2, from Alexandria via LeMat-Bulk.

Cell lengths 5.0380, 5.0380, 8.7597 Å; angles 89.98, 106.72, 120.02 degrees
Last column: nearest neighbours and their distance in Å.
Atoms (fractional coordinates):
I1 0.4997 0.2498 0.7495  3 K 3.56-3.57, 3 Tl 3.57
Tl1 0.0000 0.0000 0.0000  6 I 3.57
K1 0.0000 0.5000 0.5000  6 I 3.56-3.57
I2 0.5004 0.7502 0.2505  3 K 3.56, 3 Tl 3.57

## Properties
calculated total energy: -2.71 eV/atom
symmetry: R-3m, No. 166
polymorph energy (0 for the lowest one): 0 meV/atom
formation energy without anion corrections: -1.071 eV/atom

Q: Look up the calculated total energy of the fourth one.
A: -5.63 eV/atom

Q: The highest calculated total energy belongs to which entry?
A: KTlI2

Q: The lowest calculated total energy belongs to which entry?
A: Ba2HfS2O2